MnBiSe2 PBE relaxed; space-group type = C2/c (15); theoretical density = 6.8 g/cm³; E = -20.96 eV/f.u.; formation energy (no corrections) = -0.235 eV per atom; total magnetic moment = 27.71 μB per cell
1.0
-18.609 -0.836 -6.314
0.248 -6.441 -2.836
-0.194 -5.595 4.272
Bi Se Mn
8 16 8
direct
0.079 0.970 0.337
0.581 0.634 0.543
0.419 0.366 0.457
0.579 0.163 0.530
0.421 0.837 0.470
0.919 0.043 0.134
0.081 0.957 0.866
0.921 0.030 0.663
0.250 0.644 0.144
0.915 0.486 0.361
0.250 0.124 0.624
0.750 0.356 0.856
0.909 0.504 0.848
0.249 0.651 0.642
0.749 0.858 0.849
0.591 0.348 0.004
0.091 0.496 0.152
0.585 0.861 0.986
0.409 0.652 0.996
0.751 0.349 0.358
0.251 0.142 0.151
0.750 0.876 0.376
0.415 0.139 0.014
0.085 0.514 0.639
0.174 0.533 0.909
0.818 0.501 0.553
0.682 0.053 0.001
0.326 0.409 0.033
0.182 0.499 0.447
0.318 0.947 0.999
0.826 0.467 0.091
0.674 0.591 0.967


AgS2Cl6 PBE relaxed; space-group type = C2/m (12); energy above the most stable polymorph in this dataset = 0.000 eV per atom; theoretical density = 2.3 g/cm³; E = -23.52 eV/f.u.; formation energy (no corrections) = -0.148 eV per atom; total magnetic moment = 1.38 μB per cell
1.0
-4.900 2.577 5.482
-4.486 -7.456 0.140
3.158 -5.433 6.020
Cl S Ag
12 4 2
direct
0.639 0.535 0.203
0.988 0.114 0.114
0.139 0.203 0.535
0.488 0.114 0.114
0.012 0.886 0.886
0.139 0.536 0.202
0.861 0.797 0.465
0.512 0.886 0.886
0.639 0.202 0.536
0.361 0.465 0.797
0.361 0.798 0.464
0.861 0.464 0.798
0.292 0.370 0.370
0.792 0.370 0.370
0.208 0.630 0.630
0.708 0.630 0.630
0.250 0.000 0.000
0.750 0.000 0.000